# K3PuNi2O6

A relaxed structure of K3PuNi2O6 (GGA+U, the Alexandria database).

a = 5.6017 Å, b = 5.6017 Å, c = 6.4128 Å
α = 98.21°, β = 98.21°, γ = 120.09°
Positions (direct):
K 0.0000 0.0000 0.0000
K 0.3255 0.6745 0.0000
K 0.6745 0.3255 0.0000
Pu 0.5000 0.5000 0.5000
Ni 0.1664 0.8336 0.5000
Ni 0.8336 0.1664 0.5000
O 0.1083 0.4391 0.3182
O 0.2308 0.2308 0.6846
O 0.4391 0.1083 0.3182
O 0.5609 0.8917 0.6818
O 0.7692 0.7692 0.3154
O 0.8917 0.5609 0.6818

Final energy   -6.082 eV/atom
Crystal system   monoclinic
N(E_F)   0.864 states/eV per atom
ρ   5.7 Mg/m³